LaFeHg2 after structural relaxation, computed with PBE-GGA.

Calculated values
formation enthalpy at 0 K = 0.07 eV per atom
density of states at the Fermi level = 4.7 states/eV/f.u.
DFT total energy = -3.43 eV/atom

abc: 3.906 4.199 11.742
angles: 90.00 90.00 90.00
Space group Amm2 (No. 38)
Unique sites:
La1 0.000 0.000 0.000 [2 per cell]
Fe1 0.500 0.000 0.442 [2 per cell]
Hg1 0.000 0.000 0.283 [2 per cell]
Hg2 0.500 0.000 0.675 [2 per cell]